VASP calculation (PBE) on an optimized crystal structure of Pm2TmS4.

Total DFT energy (no corrections): -6.273 eV/atom
N(E_F): 7.15 states/eV per cell
Space group: Fddd, No. 70
Relative energy among the computed polymorphs: 70 kJ/mol of formula units
Formation energy (no corrections): -1918 meV/atom

Cell lengths 8.167, 8.167, 8.173 Å; angles 119.95, 119.94, 90.04 degrees
Element x y z (fractional)
Pm  0.625  0.375  0.750
Pm  0.625  0.875  0.250
Pm  0.625  0.375  0.250
Pm  0.125  0.375  0.750
Tm  0.250  0.750  0.500
Tm  0.000  0.000  0.000
S  0.872  0.129  0.258
S  0.378  0.621  0.242
S  0.871  0.614  0.742
S  0.871  0.128  0.742
S  0.386  0.129  0.258
S  0.379  0.136  0.758
S  0.379  0.622  0.758
S  0.864  0.621  0.242